# Pm4Pr5Ga4 (PBE-GGA, optimized geometry)
data_Pm4Pr5Ga4
_chemical_formula_sum 'Pm4 Pr5 Ga4'
_space_group_name_H-M_alt 'P 1'
_space_group_IT_number 1
_space_group_name_Hall 'P 1'
_cell_length_a 8.969
_cell_length_b 8.969
_cell_length_c 8.969
_cell_angle_alpha 94.76
_cell_angle_beta 94.76
_cell_angle_gamma 146.51
loop_
_atom_site_label
_atom_site_type_symbol
_atom_site_fract_x
_atom_site_fract_y
_atom_site_fract_z
Pm1 Pm 0.093 0.376 0.469
Pm2 Pm 0.376 0.907 0.284
Pm3 Pm 0.624 0.093 0.716
Pm4 Pm 0.907 0.624 0.531
Pr1 Pr 0.000 0.000 0.000
Pr2 Pr 0.313 0.610 0.924
Pr3 Pr 0.390 0.313 0.703
Pr4 Pr 0.610 0.687 0.297
Pr5 Pr 0.687 0.390 0.076
Ga1 Ga 0.112 0.766 0.878
Ga2 Ga 0.234 0.112 0.345
Ga3 Ga 0.766 0.888 0.655
Ga4 Ga 0.888 0.234 0.122
# **Crystal system**: tetragonal

---

# Pm3PrGa4 (PBE-GGA, optimized geometry)
data_Pm3PrGa4
_chemical_formula_sum 'Pm6 Pr2 Ga8'
_space_group_name_H-M_alt 'P 1'
_space_group_IT_number 1
_space_group_name_Hall 'P 1'
_cell_length_a 10.410
_cell_length_b 7.372
_cell_length_c 5.206
_cell_angle_alpha 90.00
_cell_angle_beta 90.00
_cell_angle_gamma 90.00
loop_
_atom_site_label
_atom_site_type_symbol
_atom_site_fract_x
_atom_site_fract_y
_atom_site_fract_z
Pm1 Pm 0.000 0.000 0.000
Pm2 Pm 0.250 0.000 0.498
Pm3 Pm 0.250 0.500 0.498
Pm4 Pm 0.500 0.000 0.000
Pm5 Pm 0.750 0.000 0.502
Pm6 Pm 0.750 0.500 0.502
Pr1 Pr 0.000 0.500 0.000
Pr2 Pr 0.500 0.500 0.000
Ga1 Ga 0.000 0.247 0.500
Ga2 Ga 0.000 0.753 0.500
Ga3 Ga 0.250 0.247 0.997
Ga4 Ga 0.250 0.753 0.997
Ga5 Ga 0.500 0.247 0.500
Ga6 Ga 0.500 0.753 0.500
Ga7 Ga 0.750 0.247 0.003
Ga8 Ga 0.750 0.753 0.003
# **E above lowest polymorph**: 0.000 eV/atom
# **Crystal system**: orthorhombic

---

# Pm5Pr2Ga4 (PBE-GGA, optimized geometry)
data_Pm5Pr2Ga4
_chemical_formula_sum 'Pm5 Pr2 Ga4'
_space_group_name_H-M_alt 'P 1'
_space_group_IT_number 1
_space_group_name_Hall 'P 1'
_cell_length_a 13.194
_cell_length_b 13.194
_cell_length_c 7.219
_cell_angle_alpha 90.63
_cell_angle_beta 90.63
_cell_angle_gamma 15.42
loop_
_atom_site_label
_atom_site_type_symbol
_atom_site_fract_x
_atom_site_fract_y
_atom_site_fract_z
Pm1 Pm 0.000 0.000 0.000
Pm2 Pm 0.266 0.266 0.228
Pm3 Pm 0.366 0.366 0.812
Pm4 Pm 0.634 0.634 0.188
Pm5 Pm 0.734 0.734 0.772
Pr1 Pr 0.405 0.405 0.303
Pr2 Pr 0.595 0.595 0.697
Ga1 Ga 0.177 0.177 0.492
Ga2 Ga 0.475 0.475 0.652
Ga3 Ga 0.525 0.525 0.348
Ga4 Ga 0.823 0.823 0.508
# **Crystal system**: monoclinic

---

# PmPr2Ga6 (PBE-GGA, optimized geometry)
data_PmPr2Ga6
_chemical_formula_sum 'Pm1 Pr2 Ga6'
_space_group_name_H-M_alt 'P 1'
_space_group_IT_number 1
_space_group_name_Hall 'P 1'
_cell_length_a 8.029
_cell_length_b 8.029
_cell_length_c 8.029
_cell_angle_alpha 147.81
_cell_angle_beta 126.45
_cell_angle_gamma 63.87
loop_
_atom_site_label
_atom_site_type_symbol
_atom_site_fract_x
_atom_site_fract_y
_atom_site_fract_z
Pm1 Pm 0.000 0.000 0.000
Pr1 Pr 0.368 0.868 0.500
Pr2 Pr 0.632 0.132 0.500
Ga1 Ga 0.012 0.325 0.686
Ga2 Ga 0.315 0.500 0.815
Ga3 Ga 0.361 0.675 0.686
Ga4 Ga 0.639 0.325 0.314
Ga5 Ga 0.685 0.500 0.185
Ga6 Ga 0.988 0.675 0.314
# **E above lowest polymorph**: 0.248 eV/atom
# **Crystal system**: orthorhombic

---

# PmPr6Ga2 (PBE-GGA, optimized geometry)
data_PmPr6Ga2
_chemical_formula_sum 'Pm1 Pr6 Ga2'
_space_group_name_H-M_alt 'P 1'
_space_group_IT_number 1
_space_group_name_Hall 'P 1'
_cell_length_a 6.780
_cell_length_b 6.780
_cell_length_c 12.207
_cell_angle_alpha 108.96
_cell_angle_beta 108.96
_cell_angle_gamma 32.69
loop_
_atom_site_label
_atom_site_type_symbol
_atom_site_fract_x
_atom_site_fract_y
_atom_site_fract_z
Pm1 Pm 0.000 0.000 0.000
Pr1 Pr 0.028 0.028 0.324
Pr2 Pr 0.311 0.311 0.125
Pr3 Pr 0.311 0.311 0.408
Pr4 Pr 0.689 0.689 0.592
Pr5 Pr 0.689 0.689 0.875
Pr6 Pr 0.972 0.972 0.676
Ga1 Ga 0.353 0.353 0.803
Ga2 Ga 0.647 0.647 0.197
# **Crystal system**: monoclinic

---

# Pm2Pr3Ga6 (PBE-GGA, optimized geometry)
data_Pm2Pr3Ga6
_chemical_formula_sum 'Pm2 Pr3 Ga6'
_space_group_name_H-M_alt 'P 1'
_space_group_IT_number 1
_space_group_name_Hall 'P 1'
_cell_length_a 12.104
_cell_length_b 12.104
_cell_length_c 12.104
_cell_angle_alpha 153.56
_cell_angle_beta 153.56
_cell_angle_gamma 37.74
loop_
_atom_site_label
_atom_site_type_symbol
_atom_site_fract_x
_atom_site_fract_y
_atom_site_fract_z
Pm1 Pm 0.087 0.087 0.000
Pm2 Pm 0.913 0.913 0.000
Pr1 Pr 0.355 0.355 0.000
Pr2 Pr 0.500 0.500 0.000
Pr3 Pr 0.645 0.645 0.000
Ga1 Ga 0.057 0.557 0.500
Ga2 Ga 0.222 0.222 0.000
Ga3 Ga 0.443 0.943 0.500
Ga4 Ga 0.557 0.057 0.500
Ga5 Ga 0.778 0.778 0.000
Ga6 Ga 0.943 0.443 0.500
# **Crystal system**: tetragonal

---

# Pm2PrGa2 (PBE-GGA, optimized geometry)
data_Pm2PrGa2
_chemical_formula_sum 'Pm4 Pr2 Ga4'
_space_group_name_H-M_alt 'P 1'
_space_group_IT_number 1
_space_group_name_Hall 'P 1'
_cell_length_a 5.932
_cell_length_b 4.077
_cell_length_c 12.481
_cell_angle_alpha 90.00
_cell_angle_beta 99.27
_cell_angle_gamma 90.00
loop_
_atom_site_label
_atom_site_type_symbol
_atom_site_fract_x
_atom_site_fract_y
_atom_site_fract_z
Pm1 Pm 0.082 0.250 0.370
Pm2 Pm 0.231 0.750 0.938
Pm3 Pm 0.769 0.250 0.062
Pm4 Pm 0.918 0.750 0.630
Pr1 Pr 0.462 0.250 0.712
Pr2 Pr 0.538 0.750 0.288
Ga1 Ga 0.292 0.250 0.129
Ga2 Ga 0.363 0.750 0.519
Ga3 Ga 0.637 0.250 0.481
Ga4 Ga 0.708 0.750 0.871
# **E above lowest polymorph**: 0.140 eV/atom
# **Crystal system**: monoclinic

---

# Pm8PrGa6 (PBE-GGA, optimized geometry)
data_Pm8PrGa6
_chemical_formula_sum 'Pm8 Pr1 Ga6'
_space_group_name_H-M_alt 'P 1'
_space_group_IT_number 1
_space_group_name_Hall 'P 1'
_cell_length_a 8.109
_cell_length_b 8.109
_cell_length_c 8.109
_cell_angle_alpha 66.36
_cell_angle_beta 66.36
_cell_angle_gamma 66.36
loop_
_atom_site_label
_atom_site_type_symbol
_atom_site_fract_x
_atom_site_fract_y
_atom_site_fract_z
Pm1 Pm 0.054 0.387 0.720
Pm2 Pm 0.167 0.167 0.167
Pm3 Pm 0.280 0.946 0.613
Pm4 Pm 0.387 0.720 0.054
Pm5 Pm 0.613 0.280 0.946
Pm6 Pm 0.720 0.054 0.387
Pm7 Pm 0.833 0.833 0.833
Pm8 Pm 0.946 0.613 0.280
Pr1 Pr 0.500 0.500 0.500
Ga1 Ga 0.108 0.779 0.443
Ga2 Ga 0.221 0.557 0.892
Ga3 Ga 0.443 0.108 0.779
Ga4 Ga 0.557 0.892 0.221
Ga5 Ga 0.779 0.443 0.108
Ga6 Ga 0.892 0.221 0.557
# **Crystal system**: trigonal

---

# Pm3Pr3Ga4 (PBE-GGA, optimized geometry)
data_Pm3Pr3Ga4
_chemical_formula_sum 'Pm3 Pr3 Ga4'
_space_group_name_H-M_alt 'P 1'
_space_group_IT_number 1
_space_group_name_Hall 'P 1'
_cell_length_a 4.524
_cell_length_b 7.864
_cell_length_c 7.864
_cell_angle_alpha 89.60
_cell_angle_beta 90.00
_cell_angle_gamma 90.00
loop_
_atom_site_label
_atom_site_type_symbol
_atom_site_fract_x
_atom_site_fract_y
_atom_site_fract_z
Pm1 Pm 0.000 0.000 0.000
Pm2 Pm 0.000 0.501 0.849
Pm3 Pm 0.000 0.849 0.501
Pr1 Pr 0.000 0.348 0.348
Pr2 Pr 0.500 0.175 0.674
Pr3 Pr 0.500 0.674 0.175
Ga1 Ga 0.500 0.055 0.291
Ga2 Ga 0.500 0.291 0.055
Ga3 Ga 0.500 0.560 0.560
Ga4 Ga 0.500 0.792 0.792
# **Crystal system**: orthorhombic

---

# Pm4PrGa5 (PBE-GGA, optimized geometry)
data_Pm4PrGa5
_chemical_formula_sum 'Pm4 Pr1 Ga5'
_space_group_name_H-M_alt 'P 1'
_space_group_IT_number 1
_space_group_name_Hall 'P 1'
_cell_length_a 3.678
_cell_length_b 3.678
_cell_length_c 18.391
_cell_angle_alpha 90.00
_cell_angle_beta 90.00
_cell_angle_gamma 90.00
loop_
_atom_site_label
_atom_site_type_symbol
_atom_site_fract_x
_atom_site_fract_y
_atom_site_fract_z
Pm1 Pm 0.000 0.000 0.099
Pm2 Pm 0.000 0.000 0.298
Pm3 Pm 0.000 0.000 0.702
Pm4 Pm 0.000 0.000 0.901
Pr1 Pr 0.000 0.000 0.500
Ga1 Ga 0.500 0.500 0.000
Ga2 Ga 0.500 0.500 0.198
Ga3 Ga 0.500 0.500 0.396
Ga4 Ga 0.500 0.500 0.604
Ga5 Ga 0.500 0.500 0.802
# **Crystal system**: tetragonal

---

# Pm5PrGa6 (PBE-GGA, optimized geometry)
data_Pm5PrGa6
_chemical_formula_sum 'Pm5 Pr1 Ga6'
_space_group_name_H-M_alt 'P 1'
_space_group_IT_number 1
_space_group_name_Hall 'P 1'
_cell_length_a 5.199
_cell_length_b 7.356
_cell_length_c 8.226
_cell_angle_alpha 90.00
_cell_angle_beta 108.37
_cell_angle_gamma 90.00
loop_
_atom_site_label
_atom_site_type_symbol
_atom_site_fract_x
_atom_site_fract_y
_atom_site_fract_z
Pm1 Pm 0.000 0.000 0.000
Pm2 Pm 0.333 0.500 0.666
Pm3 Pm 0.335 0.000 0.669
Pm4 Pm 0.665 0.000 0.331
Pm5 Pm 0.667 0.500 0.334
Pr1 Pr 0.000 0.500 0.000
Ga1 Ga 0.168 0.248 0.336
Ga2 Ga 0.168 0.752 0.336
Ga3 Ga 0.500 0.248 0.000
Ga4 Ga 0.500 0.752 0.000
Ga5 Ga 0.832 0.248 0.664
Ga6 Ga 0.832 0.752 0.664
# **Crystal system**: monoclinic

---

# PmPrGa2Pt5 (PBE-GGA, optimized geometry)
data_PmPrGa2Pt5
_chemical_formula_sum 'Pm1 Pr1 Ga2 Pt5'
_space_group_name_H-M_alt 'P 1'
_space_group_IT_number 1
_space_group_name_Hall 'P 1'
_cell_length_a 4.260
_cell_length_b 4.260
_cell_length_c 9.412
_cell_angle_alpha 90.00
_cell_angle_beta 90.00
_cell_angle_gamma 90.00
loop_
_atom_site_label
_atom_site_type_symbol
_atom_site_fract_x
_atom_site_fract_y
_atom_site_fract_z
Pm1 Pm 0.000 0.000 0.000
Pr1 Pr 0.000 0.000 0.500
Ga1 Ga 0.500 0.500 0.133
Ga2 Ga 0.500 0.500 0.867
Pt1 Pt 0.000 0.500 0.271
Pt2 Pt 0.000 0.500 0.729
Pt3 Pt 0.500 0.000 0.271
Pt4 Pt 0.500 0.000 0.729
Pt5 Pt 0.500 0.500 0.500
# **Crystal system**: tetragonal

---

| no. | energy of formation (eV/atom) |
| --- | --- |
| 1 | -0.362 |
| 2 | -0.562 |
| 3 | -0.167 |
| 4 | -0.439 |
| 5 | -0.228 |
| 6 | -0.059 |
| 7 | -0.334 |
| 8 | -0.356 |
| 9 | -0.472 |
| 10 | -0.564 |
| 11 | -0.564 |
| 12 | -0.893 |